Entry 1:
This record from Alexandria describes a geometry-optimized LaTbAg structure. The functional is GGA-PBE.

The calculation puts the energy above the most stable polymorph in this dataset at 12.5 meV/atom.

The space group is Pnma (No. 62) and the conventional cell measures 7.372, 5.172 and 9.282 Å, with angles of 90.00, 90.00 and 90.00 degrees. The distinct sites, in fractional coordinates, are La at (0.013, 0.250, 0.181), Tb at (0.147, 0.250, 0.579) and Ag at (0.249, 0.750, 0.398).

***

Entry 2:
This record from Alexandria describes a geometry-optimized LaTb2Ag6 structure. The functional is GGA-PBE.

The space group is P6/mmm (No. 191) and the conventional cell measures 8.3109, 8.3109 and 3.5098 Å, with angles of 90.00, 90.00 and 120.00 degrees. The distinct sites, in fractional coordinates, are La at (0.0000, 0.0000, 0.0000), Tb at (0.3333, 0.6667, 0.0000) and Ag at (0.0000, 0.3361, 0.5000).

***

no.,total magnetization (μB per formula unit),uncorrected energy (eV for the cell shown),calculated formation energy (meV/atom)
1,0.00,-51.541,-158.8
2,0.00,-33.604,-256.5